Arrangement w

Here is crystalline Sr2MoW at its relaxed geometry from the Alexandria database. Energies are from GGA-PBEsol.

```
data_Sr2MoW
_cell_length_a 3.5051
_cell_length_b 5.6495
_cell_length_c 6.2892
_cell_angle_alpha 116.69
_cell_angle_beta 106.18
_cell_angle_gamma 90.00
_symmetry_space_group_name_H-M 'P 1'
_symmetry_Int_Tables_number 1
loop_
_symmetry_equiv_pos_as_xyz
'x,y,z'
loop_
_atom_site_label
_atom_site_type_symbol
_atom_site_fract_x
_atom_site_fract_y
_atom_site_fract_z
Sr1 Sr 0.2277 0.7277 0.4554
Sr2 Sr 0.0219 0.0219 0.0438
W1 W 0.4503 0.4503 0.9006
Mo1 Mo 0.8001 0.3001 0.6002
```

***

Arrangement x

Here is crystalline Sr2MoW at its relaxed geometry from the Alexandria database. Energies are from GGA-PBEsol.

```
data_Sr2MoW
_cell_length_a 3.9831
_cell_length_b 4.0215
_cell_length_c 6.0974
_cell_angle_alpha 109.25
_cell_angle_beta 109.06
_cell_angle_gamma 90.00
_symmetry_space_group_name_H-M 'P 1'
_symmetry_Int_Tables_number 1
loop_
_symmetry_equiv_pos_as_xyz
'x,y,z'
loop_
_atom_site_label
_atom_site_type_symbol
_atom_site_fract_x
_atom_site_fract_y
_atom_site_fract_z
W1 W 0.0000 0.5000 0.0000
Sr1 Sr 0.2490 0.2490 0.4981
Sr2 Sr 0.7510 0.7510 0.5019
Mo1 Mo 0.5000 0.0000 0.0000
```

***

Least stable: arrangement x